Computed, not measured: IrWCl2 after structural relaxation at the PBE-GGA level of DFT.

formation energy from raw total energies = -0.19 eV/atom
spin magnetization = 0.0 μB/f.u.

Cell: 3.0934 3.0178 8.7345 Å, 90.00 90.07 90.00°
Space group Pm (No. 6)
Asymmetric unit:
Ir 0.0000 0.0000 0.0000
W 0.4994 0.5000 0.8268
Cl 0.0029 0.5000 0.2282
Cl 0.4983 0.0000 0.6114